Record 1
ReNiAg3: relaxed, GGA-PBE.

POSCAR file:
```
ReNiAg3
1.0
5.015 0.000 0.000
0.000 5.015 0.000
0.000 0.000 5.015
Ni Ag Re
1 3 1
Cartesian
2.508 2.508 2.508
2.508 0.000 0.000
0.000 0.000 2.508
0.000 2.508 0.000
0.000 0.000 0.000
```

The calculation puts the total energy at -3.2571 eV/atom. Its volume is 25.2 Å³/atom. The energy relative to the lowest polymorph listed for this composition is 469.7 meV per atom. The energy of formation comes out at 10.50 eV per formula unit. For the density of states at the Fermi level, the calculation gives 1.958 states/eV per atom.

***

Record 2
SrCaPr2: relaxed, GGA-PBE.

POSCAR file:
```
SrCaPr2
1.0
4.226 0.000 0.000
0.000 4.226 0.000
0.000 0.000 9.177
Pr Ca Sr
2 1 1
Cartesian
0.000 0.000 7.184
0.000 0.000 1.993
2.113 2.113 0.000
2.113 2.113 4.589
```

The calculation puts the total energy at -3.1670 eV/atom. Its volume is 41.0 Å³/atom. The energy relative to the lowest polymorph listed for this composition is 19.8 meV per atom. The energy of formation comes out at 0.57 eV per formula unit. For the density of states at the Fermi level, the calculation gives 1.189 states/eV per atom.